[1]
Here is crystalline AlTl2Zn at its relaxed geometry from Alexandria. Energies are from GGA-PBEsol.

The calculation puts the formation energy at 260 meV/atom.

The structure belongs to space group Immm (No. 71); the cell edges are 4.392, 5.005 and 8.084 Å and the angles 90.00°, 90.00° and 90.00°. Symmetry generates all atoms from Al at (0.000, 0.000, 0.000), Tl at (0.000, 0.500, 0.246) and Zn at (0.000, 0.000, 0.500).


[2]
Here is crystalline LiMgNi3 at its relaxed geometry from Alexandria. Energies are from GGA-PBEsol.

The calculation puts the formation energy at 539 meV/atom.

The structure belongs to space group Pm-3m (No. 221); the cell edges are 3.939, 3.939 and 3.939 Å and the angles 90.00°, 90.00° and 90.00°. Symmetry generates all atoms from Li at (0.000, 0.000, 0.000), Mg at (0.500, 0.500, 0.500) and Ni at (0.000, 0.000, 0.500).


[3]
Here is crystalline SiMo2 at its relaxed geometry from Alexandria. Energies are from GGA-PBEsol.

As for the energy relative to the elements, uncorrected: -0.082 eV per atom. As for the energy above the most stable polymorph in this dataset: 0.273 eV per atom.

The structure belongs to space group P-3m1 (No. 164); the cell edges are 4.2943, 4.2943 and 2.6991 Å and the angles 90.00°, 90.00° and 120.00°. Symmetry generates all atoms from Si at (0.0000, 0.0000, 0.0000) and Mo at (0.3333, 0.6667, 0.6555).


[4]
Here is crystalline TlGa2Mo at its relaxed geometry from Alexandria. Energies are from GGA-PBEsol.

The calculation puts the formation energy at 654 meV/atom.

The structure belongs to space group Fm-3m (No. 225); the cell edges are 6.565, 6.565 and 6.565 Å and the angles 90.00°, 90.00° and 90.00°. Symmetry generates all atoms from Tl at (0.000, 0.000, 0.000), Ga at (0.250, 0.250, 0.250) and Mo at (0.000, 0.000, 0.500).


[5]
Here is crystalline Te2PbNO at its relaxed geometry from Alexandria. Energies are from GGA-PBEsol.

As for the energy relative to the elements, uncorrected: 1.684 eV per atom.

The structure belongs to space group P4/mmm (No. 123); the cell edges are 5.867, 5.867 and 4.229 Å and the angles 90.00°, 90.00° and 90.00°. Symmetry generates all atoms from Te at (0.000, 0.500, 0.000), Pb at (0.000, 0.000, 0.000), N at (0.000, 0.000, 0.500) and O at (0.500, 0.500, 0.500).


[6]
Here is crystalline SrIn2Rh at its relaxed geometry from Alexandria. Energies are from GGA-PBEsol.

The calculation puts the formation energy at -398 meV/atom.

The structure belongs to space group R3m (No. 160, hexagonal axes); the cell edges are 4.6103, 4.6103 and 16.5349 Å and the angles 90.00°, 90.00° and 120.00°. Symmetry generates all atoms from Sr at (0.0000, 0.0000, 0.0000), In at (0.0000, 0.0000, 0.2057), In at (0.0000, 0.0000, 0.4571) and Rh at (0.0000, 0.0000, 0.8162).


| no. | volume (A^3/atom) | total moment (μB per cell) | D(E_F) (states/eV per atom) |
| --- | --- | --- | --- |
| 1 | 22.2 | 0.00 | 0.417 |
| 2 | 12.2 | 0.50 | 1.250 |
| 3 | 14.4 | 0.00 | 0.679 |
| 4 | 17.7 | 0.02 | 0.911 |
| 5 | 29.1 | 4.54 | 1.461 |
| 6 | 25.4 | 0.00 | 0.595 |